Record 1
# TaSbTe2O

A relaxed structure of TaSbTe2O (GGA-PBE, the Alexandria database).

Geometry as CIF:
```
data_TaSbTe2O
_symmetry_space_group_name_H-M 'P 4/m m m'
_symmetry_Int_Tables_number 123
_symmetry_space_group_name_Hall '-P 4 2'
_cell_length_a 4.7657
_cell_length_b 4.7657
_cell_length_c 4.6110
_cell_angle_alpha 90.00
_cell_angle_beta 90.00
_cell_angle_gamma 90.00
loop_
_atom_site_label
_atom_site_fract_x
_atom_site_fract_y
_atom_site_fract_z
Ta1 0.0000 0.0000 0.0000
Sb1 0.5000 0.5000 0.0000
Te1 0.0000 0.5000 0.5000
O1 0.5000 0.5000 0.5000
```

Spin magnetization: 0.003 μB/cell
ΔE_f (raw): 0.4306 eV per atom
DFT total energy: -5.01 eV/atom

***

Record 2
# NpZnBi2O6

A relaxed structure of NpZnBi2O6 (GGA-PBE, the Alexandria database).

Geometry as CIF:
```
data_NpZnBi2O6
_symmetry_space_group_name_H-M 'C 1 2/m 1'
_symmetry_Int_Tables_number 12
_cell_length_a 10.0574
_cell_length_b 5.6985
_cell_length_c 6.2178
_cell_angle_alpha 90.00
_cell_angle_beta 123.74
_cell_angle_gamma 90.00
loop_
_symmetry_equiv_pos_as_xyz
'x,y,z'
'-x,-y,-z'
'-x,y,-z'
'x,-y,z'
'x+1/2,y+1/2,z'
'-x+1/2,-y+1/2,-z'
'-x+1/2,y+1/2,-z'
'x+1/2,-y+1/2,z'
loop_
_atom_site_label
_atom_site_fract_x
_atom_site_fract_y
_atom_site_fract_z
Np1 0.0000 0.0000 0.0000
Zn1 0.0000 0.5000 0.5000
Bi1 0.2495 0.5000 0.3057
O1 0.0810 0.2542 0.3501
O2 0.2279 0.0000 0.1207
```

Spin magnetization: 5.047 μB/cell
ΔE_f (raw): -1.6747 eV per atom
DFT total energy: -6.85 eV/atom

***

Record 3
# CuHgTe2

A relaxed structure of CuHgTe2 (GGA-PBE, the Alexandria database).

Geometry as CIF:
```
data_CuHgTe2
_symmetry_space_group_name_H-M 'I -4 2 d'
_symmetry_Int_Tables_number 122
_symmetry_space_group_name_Hall 'I -4 2bw'
_cell_length_a 6.3011
_cell_length_b 6.3011
_cell_length_c 12.3095
_cell_angle_alpha 90.00
_cell_angle_beta 90.00
_cell_angle_gamma 90.00
loop_
_atom_site_label
_atom_site_fract_x
_atom_site_fract_y
_atom_site_fract_z
Cu1 0.0000 0.0000 0.0000
Hg1 0.0000 0.0000 0.5000
Te1 0.2085 0.2500 0.1250
```

Spin magnetization: 0.000 μB/cell
ΔE_f (raw): -0.0865 eV per atom
DFT total energy: -2.76 eV/atom

***

Record 4
# BeAlCd2

A relaxed structure of BeAlCd2 (GGA-PBE, the Alexandria database).

Geometry as CIF:
```
data_BeAlCd2
_symmetry_space_group_name_H-M 'F m -3 m'
_symmetry_Int_Tables_number 225
_symmetry_space_group_name_Hall '-F 4 2 3'
_cell_length_a 6.6278
_cell_length_b 6.6278
_cell_length_c 6.6278
_cell_angle_alpha 90.00
_cell_angle_beta 90.00
_cell_angle_gamma 90.00
loop_
_atom_site_label
_atom_site_fract_x
_atom_site_fract_y
_atom_site_fract_z
Be1 0.0000 0.0000 0.0000
Al1 0.0000 0.0000 0.5000
Cd1 0.2500 0.2500 0.2500
```

Spin magnetization: 0.000 μB/cell
E_form: 0.49 eV/atom
DFT total energy: -1.84 eV/atom

***

Record 5
# CaNd8Er5

A relaxed structure of CaNd8Er5 (GGA-PBE, the Alexandria database).

Geometry as CIF:
```
data_CaNd8Er5
_symmetry_space_group_name_H-M 'I -4'
_symmetry_Int_Tables_number 82
_cell_length_a 9.7577
_cell_length_b 9.7577
_cell_length_c 10.3782
_cell_angle_alpha 90.00
_cell_angle_beta 90.00
_cell_angle_gamma 90.00
loop_
_symmetry_equiv_pos_as_xyz
'x,y,z'
'y,-x,-z'
'-x,-y,z'
'-y,x,-z'
'x+1/2,y+1/2,z+1/2'
'y+1/2,-x+1/2,-z+1/2'
'-x+1/2,-y+1/2,z+1/2'
'-y+1/2,x+1/2,-z+1/2'
loop_
_atom_site_label
_atom_site_fract_x
_atom_site_fract_y
_atom_site_fract_z
Ca1 0.0000 0.0000 0.0000
Nd1 0.0705 0.8259 0.3487
Nd2 0.0933 0.6715 0.0022
Er1 0.0000 0.5000 0.2500
Er2 0.1106 0.7022 0.6773
```

Spin magnetization: 0.007 μB/cell
E_form: 0.24 eV/atom
DFT total energy: -4.26 eV/atom

***

Record 6
# Ta2Ru

A relaxed structure of Ta2Ru (GGA-PBE, the Alexandria database).

Geometry as CIF:
```
data_Ta2Ru
_symmetry_space_group_name_H-M 'I 41/a m d'
_symmetry_Int_Tables_number 141
_cell_length_a 2.9400
_cell_length_b 2.9400
_cell_length_c 24.2760
_cell_angle_alpha 90.00
_cell_angle_beta 90.00
_cell_angle_gamma 90.00
loop_
_symmetry_equiv_pos_as_xyz
'x,y,z'
'-x,-y,-z'
'-y+1/4,x+3/4,z+1/4'
'y+1/4,-x+3/4,-z+1/4'
'-x+1/2,-y,z+1/2'
'x+1/2,y,-z+1/2'
'y+1/4,-x+1/4,z+3/4'
'-y+1/4,x+1/4,-z+3/4'
'x,-y,-z'
'-x,y,z'
'-y+1/4,-x+1/4,-z+3/4'
'y+1/4,x+1/4,z+3/4'
'-x+1/2,y,-z+1/2'
'x+1/2,-y,z+1/2'
'y+1/4,x+3/4,-z+1/4'
'-y+1/4,-x+3/4,z+1/4'
'x+1/2,y+1/2,z+1/2'
'-x+1/2,-y+1/2,-z+1/2'
'-y+3/4,x+1/4,z+3/4'
'y+3/4,-x+1/4,-z+3/4'
'-x,-y+1/2,z'
'x,y+1/2,-z'
'y+3/4,-x+3/4,z+1/4'
'-y+3/4,x+3/4,-z+1/4'
'x+1/2,-y+1/2,-z+1/2'
'-x+1/2,y+1/2,z+1/2'
'-y+3/4,-x+3/4,-z+1/4'
'y+3/4,x+3/4,z+1/4'
'-x,y+1/2,-z'
'x,-y+1/2,z'
'y+3/4,x+1/4,-z+3/4'
'-y+3/4,-x+1/4,z+3/4'
loop_
_atom_site_label
_atom_site_fract_x
_atom_site_fract_y
_atom_site_fract_z
Ta1 0.0000 0.2500 0.3012
Ru1 0.0000 0.2500 0.8750
```

Spin magnetization: 0.000 μB/cell
E_form: 0.10 eV/atom
DFT total energy: -10.89 eV/atom

***

Record 7
# Ca2AlRe

A relaxed structure of Ca2AlRe (GGA-PBE, the Alexandria database).

Geometry as CIF:
```
data_Ca2AlRe
_symmetry_space_group_name_H-M 'P m m 2'
_symmetry_Int_Tables_number 25
_cell_length_a 3.4325
_cell_length_b 3.4940
_cell_length_c 8.2597
_cell_angle_alpha 90.00
_cell_angle_beta 90.00
_cell_angle_gamma 90.00
loop_
_symmetry_equiv_pos_as_xyz
'x,y,z'
'-x,-y,z'
'-x,y,z'
'x,-y,z'
loop_
_atom_site_label
_atom_site_fract_x
_atom_site_fract_y
_atom_site_fract_z
Ca1 0.0000 0.0000 0.0000
Ca2 0.5000 0.5000 0.3948
Al1 0.5000 0.5000 0.7439
Re1 0.0000 0.0000 0.6451
```

Spin magnetization: 0.000 μB/cell
E_form: 0.15 eV/atom
DFT total energy: -4.90 eV/atom

***

Record 8
# Re2Ir

A relaxed structure of Re2Ir (GGA-PBE, the Alexandria database).

Geometry as CIF:
```
data_Re2Ir
_symmetry_space_group_name_H-M 'I 4/m c m'
_symmetry_Int_Tables_number 140
_symmetry_space_group_name_Hall '-I 4 2c'
_cell_length_a 6.1215
_cell_length_b 6.1215
_cell_length_c 5.0042
_cell_angle_alpha 90.00
_cell_angle_beta 90.00
_cell_angle_gamma 90.00
loop_
_atom_site_label
_atom_site_fract_x
_atom_site_fract_y
_atom_site_fract_z
Re1 0.1398 0.3602 0.0000
Ir1 0.0000 0.0000 0.2500
```

Spin magnetization: 0.000 μB/cell
E_form: 0.14 eV/atom
DFT total energy: -11.11 eV/atom

***

Record 9
# ThZrSb2N

A relaxed structure of ThZrSb2N (GGA-PBE, the Alexandria database).

Geometry as CIF:
```
data_ThZrSb2N
_symmetry_space_group_name_H-M 'P 4/n m m'
_symmetry_Int_Tables_number 129
_cell_length_a 4.0023
_cell_length_b 4.0023
_cell_length_c 15.1510
_cell_angle_alpha 90.00
_cell_angle_beta 90.00
_cell_angle_gamma 90.00
loop_
_symmetry_equiv_pos_as_xyz
'x,y,z'
'-x,-y,-z'
'-y+1/2,x,z'
'y+1/2,-x,-z'
'-x+1/2,-y+1/2,z'
'x+1/2,y+1/2,-z'
'y,-x+1/2,z'
'-y,x+1/2,-z'
'x+1/2,-y,-z'
'-x+1/2,y,z'
'-y,-x,-z'
'y,x,z'
'-x,y+1/2,-z'
'x,-y+1/2,z'
'y+1/2,x+1/2,-z'
'-y+1/2,-x+1/2,z'
loop_
_atom_site_label
_atom_site_fract_x
_atom_site_fract_y
_atom_site_fract_z
Th1 0.2500 0.2500 0.0782
Zr1 0.2500 0.2500 0.5724
Sb1 0.2500 0.2500 0.3721
Sb2 0.2500 0.2500 0.7717
N1 0.2500 0.7500 0.0000
```

Spin magnetization: 0.000 μB/cell
ΔE_f (raw): -0.9643 eV per atom
DFT total energy: -7.47 eV/atom